Record 1
Density functional theory data (PBE) for a geometry-optimized PrCd9Pd2 structure.

Summary:
Space-group type: I4_1/amd (141)
ΔE_f, eV/atom: -0.263

Structure (POSCAR):
```
PrCd9Pd2
1.0
-3.041 -3.399 -6.036
5.111 -6.656 -3.568
-5.229 -7.211 1.954
Cd Pr Pd
18 2 4
Direct
0.075 0.320 0.922
0.433 0.422 0.820
0.675 0.180 0.578
0.605 0.320 0.078
0.003 0.680 0.922
0.000 0.000 0.000
0.605 0.078 0.320
0.317 0.680 0.078
0.145 0.422 0.180
0.075 0.922 0.320
0.747 0.820 0.578
0.433 0.820 0.422
0.747 0.578 0.820
0.675 0.578 0.180
0.145 0.180 0.422
0.003 0.922 0.680
0.750 0.500 0.500
0.317 0.078 0.680
0.250 0.500 0.500
0.500 0.000 0.000
0.875 0.250 0.750
0.875 0.750 0.250
0.875 0.250 0.250
0.375 0.750 0.750
```



Record 2
Density functional theory data (PBE) for a geometry-optimized CsRb9Hg3 structure.

Summary:
Space-group type: P2_1/m (11)
ΔE_f, eV/atom: -0.093

Structure (POSCAR):
```
CsRb9Hg3
1.0
-2.038 -6.429 -2.880
4.344 -6.836 12.183
-16.103 0.567 6.060
Rb Cs Hg
18 2 6
Direct
0.537 0.750 0.817
0.460 0.914 0.100
0.921 0.750 0.289
0.079 0.250 0.711
0.410 0.560 0.389
0.590 0.440 0.611
0.540 0.414 0.900
0.938 0.052 0.218
0.590 0.060 0.611
0.062 0.948 0.782
0.410 0.940 0.389
0.062 0.552 0.782
0.460 0.586 0.100
0.019 0.250 0.996
0.938 0.448 0.218
0.981 0.750 0.004
0.540 0.086 0.900
0.463 0.250 0.183
0.044 0.250 0.440
0.956 0.750 0.560
0.903 0.525 0.429
0.097 0.025 0.571
0.000 0.500 0.000
0.903 0.975 0.429
0.000 0.000 0.000
0.097 0.475 0.571
```



Record 3
Density functional theory data (PBE) for a geometry-optimized Ce3Th3Au4 structure.

Summary:
Space-group type: Amm2 (38)
ΔE_f, eV/atom: -0.458

Structure (POSCAR):
```
Ce3Th3Au4
1.0
-0.984 -3.592 0.267
7.128 -1.630 4.338
-4.048 1.651 7.292
Au Th Ce
4 3 3
Direct
0.000 0.875 0.875
0.000 0.624 0.376
0.000 0.375 0.625
0.000 0.125 0.125
0.000 0.000 0.497
0.000 0.503 0.000
0.500 0.170 0.830
0.500 0.671 0.670
0.500 0.828 0.172
0.500 0.330 0.329
```



Record 4
Density functional theory data (PBE) for a geometry-optimized Tl3H4S structure.

Summary:
Space-group type: Immm (71)
E_tot, eV/atom: -3.1418

Structure (POSCAR):
```
Tl3H4S
1.0
-5.087 -7.099 6.254
-7.983 -1.432 7.043
4.981 2.861 -9.076
Tl H S
3 4 1
Direct
0.894 0.894 0.000
0.500 0.000 0.500
0.106 0.106 0.000
0.210 0.284 0.926
0.358 0.284 0.074
0.790 0.716 0.074
0.642 0.716 0.926
0.000 0.500 0.500
```



Record 5
Density functional theory data (PBE) for a geometry-optimized Rb3Sm3ScS8 structure.

Summary:
Space-group type: R-3m (166)
Uncorrected formation energy, eV per atom: -1.716

Structure (POSCAR):
```
Rb3Sm3ScS8
1.0
8.128 0.000 0.000
-4.063 7.044 -0.030
0.000 -4.669 7.856
S Rb Sm Sc
8 3 3 1
Direct
0.747 0.966 0.684
0.781 0.562 0.316
0.732 0.464 0.696
0.781 0.034 0.316
0.219 0.438 0.684
0.253 0.034 0.316
0.268 0.536 0.304
0.219 0.966 0.684
0.000 0.500 0.000
0.500 0.500 0.000
0.000 0.000 0.000
0.000 0.500 0.500
0.500 0.500 0.500
0.500 0.000 0.500
0.000 0.000 0.500
```



Record 6
Density functional theory data (PBE) for a geometry-optimized SmDy6Er3Th2 structure.

Summary:
Space-group type: C2/m (12)
ΔE_f, eV/atom: 0.031

Structure (POSCAR):
```
SmDy6Er3Th2
1.0
6.154 0.002 -0.004
-3.073 5.332 -0.004
-1.019 -1.764 11.561
Sm Er Dy Th
1 3 6 2
Direct
0.000 0.000 0.000
0.834 0.166 0.500
0.500 0.500 0.500
0.166 0.834 0.500
0.421 0.084 0.250
0.579 0.916 0.750
0.254 0.254 0.750
0.916 0.579 0.750
0.746 0.746 0.250
0.084 0.421 0.250
0.333 0.667 0.000
0.667 0.333 0.000
```



Record 7
Density functional theory data (PBE) for a geometry-optimized Nd5Sm4Dy structure.

Summary:
Space-group type: I4 (79)
ΔE_f, eV/atom: 0.238

Structure (POSCAR):
```
Nd5Sm4Dy
1.0
6.224 0.000 0.000
3.112 7.493 0.000
3.112 0.000 7.493
Sm Dy Nd
4 1 5
Direct
0.761 0.676 0.675
0.111 0.324 0.325
0.436 0.325 0.676
0.437 0.675 0.324
0.224 0.000 0.000
0.152 0.622 0.001
0.774 0.001 0.378
0.689 0.000 0.000
0.152 0.999 0.622
0.774 0.378 0.999
```



Record 8
Density functional theory data (PBE) for a geometry-optimized Rb2MnB structure.

Summary:
Space-group type: I-42d (122)
ΔE_f, eV/atom: 0.762

Structure (POSCAR):
```
Rb2MnB
1.0
-0.916 2.758 -12.535
5.399 -11.318 -2.885
0.406 -5.142 -7.765
B Mn Rb
2 2 4
Direct
0.500 0.500 0.000
0.250 0.750 0.500
0.750 0.250 0.500
0.000 0.000 0.000
0.318 0.625 0.250
0.375 0.568 0.750
0.875 0.682 0.750
0.432 0.125 0.250
```



Record 9
Density functional theory data (PBE) for a geometry-optimized AcSmGe structure.

Summary:
Space-group type: P3m1 (156)
ΔE_f, eV/atom: -0.390

Structure (POSCAR):
```
AcSmGe
1.0
-3.693 1.205 2.579
1.921 -2.370 3.859
1.038 4.752 -0.734
Sm Ac Ge
1 1 1
Direct
0.459 0.667 0.333
0.977 0.000 0.000
0.564 0.333 0.667
```



Record 10
Density functional theory data (PBE) for a geometry-optimized HgB structure.

Summary:
Space-group type: I-43m (217)
ΔE_f, eV/atom: 0.694

Structure (POSCAR):
```
HgB
1.0
6.742 0.000 0.000
0.000 6.742 0.000
0.000 0.000 6.742
B Hg
8 8
Direct
0.406 0.406 0.594
0.594 0.406 0.406
0.906 0.906 0.094
0.594 0.594 0.594
0.906 0.094 0.906
0.094 0.094 0.094
0.406 0.594 0.406
0.094 0.906 0.906
0.723 0.723 0.277
0.777 0.777 0.777
0.277 0.723 0.723
0.223 0.223 0.777
0.277 0.277 0.277
0.777 0.223 0.223
0.723 0.277 0.723
0.223 0.777 0.223
```



Record 11
Density functional theory data (PBE) for a geometry-optimized Nd3PBr7 structure.

Summary:
Space-group type: P3m1 (156)
Uncorrected formation energy, eV per atom: -1.587

Structure (POSCAR):
```
Nd3PBr7
1.0
6.833 0.000 0.000
0.000 8.777 0.000
0.000 -4.388 7.601
Nd Br P
3 7 1
Direct
0.773 0.496 0.504
0.773 0.496 0.992
0.773 0.008 0.504
0.552 0.824 0.176
0.020 0.667 0.333
0.552 0.351 0.176
0.016 0.644 0.822
0.552 0.824 0.649
0.016 0.178 0.356
0.016 0.178 0.822
0.574 0.333 0.667
```



Record 12
Density functional theory data (PBE) for a geometry-optimized InGaPb2S structure.

Summary:
Space-group type: P4/mmm (123)
Uncorrected formation energy, eV per atom: 0.560

Structure (POSCAR):
```
InGaPb2S
1.0
-4.596 2.577 2.375
-2.889 -1.607 -3.849
-1.202 -4.839 2.923
Ga Pb In S
1 2 1 1
Direct
0.000 0.500 0.000
0.500 0.000 0.000
0.000 0.000 0.500
0.000 0.000 0.000
0.500 0.500 0.500
```



Record 13
Density functional theory data (PBE) for a geometry-optimized Y2MnCuI structure.

Summary:
Space-group type: P4/mmm (123)
Uncorrected formation energy, eV per atom: 0.713

Structure (POSCAR):
```
Y2MnCuI
1.0
-3.930 2.040 3.524
1.725 -2.703 3.489
3.512 4.177 1.499
Y I Mn Cu
2 1 1 1
Direct
0.500 0.000 0.000
0.000 0.000 0.500
0.000 0.000 0.000
0.500 0.500 0.500
0.000 0.500 0.000
```



Record 14
Density functional theory data (PBE) for a geometry-optimized LiCuHPd2 structure.

Summary:
Space-group type: P4/mmm (123)
E_tot, eV/atom: -4.2347

Structure (POSCAR):
```
LiCuHPd2
1.0
3.938 0.000 0.000
0.000 3.938 0.000
0.000 0.000 3.716
Li H Pd Cu
1 1 2 1
Direct
0.000 0.000 0.500
0.000 0.000 0.000
0.500 0.000 0.000
0.000 0.500 0.000
0.500 0.500 0.500
```



Record 15
Density functional theory data (PBE) for a geometry-optimized K2TaP2N6 structure.

Summary:
Space-group type: R-3m (166)
Uncorrected formation energy, eV per atom: -0.429

Structure (POSCAR):
```
K2TaP2N6
1.0
-4.284 -3.417 1.247
-2.546 -2.916 -4.074
1.629 -6.700 -0.098
N P K Ta
6 2 2 1
Direct
0.760 0.760 0.203
0.277 0.760 0.203
0.240 0.240 0.797
0.723 0.240 0.797
0.240 0.723 0.797
0.760 0.277 0.203
0.601 0.601 0.196
0.399 0.399 0.804
0.794 0.794 0.619
0.206 0.206 0.381
0.000 0.000 0.000
```



Record 16
Density functional theory data (PBE) for a geometry-optimized LiLa2I structure.

Summary:
Space-group type: Fm-3m (225)
Uncorrected formation energy, eV per atom: -0.274

Structure (POSCAR):
```
LiLa2I
1.0
-2.009 0.200 5.178
-4.535 3.016 1.107
-4.793 -2.534 1.221
La Li I
2 1 1
Direct
0.750 0.750 0.750
0.250 0.250 0.250
0.000 0.000 0.000
0.500 0.500 0.500
```



Record 17
Density functional theory data (PBE) for a geometry-optimized Pm5Sn2Ge structure.

Summary:
Space-group type: Pbam (55)
ΔE_f, eV/atom: -0.700

Structure (POSCAR):
```
Pm5Sn2Ge
1.0
4.650 0.000 0.000
0.000 8.315 0.000
0.000 0.000 12.563
Sn Pm Ge
4 10 2
Direct
0.500 0.578 0.172
0.500 0.922 0.672
0.500 0.422 0.828
0.500 0.078 0.328
0.000 0.853 0.212
0.500 0.197 0.068
0.000 0.000 0.500
0.000 0.647 0.712
0.500 0.803 0.932
0.500 0.697 0.432
0.000 0.353 0.288
0.500 0.303 0.568
0.000 0.147 0.788
0.000 0.500 0.000
0.000 0.000 0.000
0.000 0.500 0.500
```



Record 18
Density functional theory data (PBE) for a geometry-optimized Tb3Y7Th structure.

Summary:
Space-group type: C2/m (12)
ΔE_f, eV/atom: 0.155

Structure (POSCAR):
```
Tb3Y7Th
1.0
9.518 -2.694 -1.242
-5.808 8.008 -1.242
-1.501 -2.150 13.006
Y Tb Th
14 6 2
Direct
0.088 0.912 0.750
0.878 0.557 0.970
0.444 0.122 0.531
0.122 0.443 0.030
0.912 0.088 0.750
0.088 0.912 0.250
0.443 0.122 0.030
0.557 0.878 0.970
0.556 0.878 0.469
0.500 0.500 0.750
0.912 0.088 0.250
0.878 0.556 0.469
0.500 0.500 0.250
0.122 0.444 0.531
0.000 0.000 0.000
0.000 0.500 0.750
0.500 0.000 0.250
0.000 0.000 0.500
0.500 0.000 0.750
0.000 0.500 0.250
0.500 0.500 0.000
0.500 0.500 0.500
```



Record 19
Density functional theory data (PBE) for a geometry-optimized NdSm3Bi4 structure.

Summary:
Space-group type: Pm-3m (221)
ΔE_f, eV/atom: -0.937

Structure (POSCAR):
```
NdSm3Bi4
1.0
-1.376 6.307 0.275
0.050 -0.270 6.455
6.312 1.377 0.009
Nd Bi Sm
1 4 3
Direct
0.000 0.000 0.000
0.500 0.500 0.500
0.000 0.000 0.500
0.500 0.000 0.000
0.000 0.500 0.000
0.000 0.500 0.500
0.500 0.000 0.500
0.500 0.500 0.000
```



Record 20
Density functional theory data (PBE) for a geometry-optimized LiGeHCl2 structure.

Summary:
Space-group type: P4/mmm (123)
E_tot, eV/atom: -3.2885

Structure (POSCAR):
```
LiGeHCl2
1.0
5.253 0.000 0.000
0.000 3.687 0.000
0.000 0.000 5.253
Li Cl H Ge
1 2 1 1
Direct
0.500 0.500 0.500
0.000 0.000 0.500
0.500 0.000 0.000
0.000 0.500 0.000
0.000 0.000 0.000
```



| no. | density (g cm⁻³) |
| --- | --- |
| 1 | 8.71 |
| 2 | 2.72 |
| 3 | 11.72 |
| 4 | 5.30 |
| 5 | 3.73 |
| 6 | 9.16 |
| 7 | 7.06 |
| 8 | 2.34 |
| 9 | 7.65 |
| 10 | 9.17 |
| 11 | 3.73 |
| 12 | 6.18 |
| 13 | 4.63 |
| 14 | 8.19 |
| 15 | 4.04 |
| 16 | 5.63 |
| 17 | 7.08 |
| 18 | 6.08 |
| 19 | 8.81 |
| 20 | 2.47 |